Entry 1:
14
Lattice="-8.3478 1.5811 -0.3800 3.7508 -1.2608 7.5281 0.6541 3.5166 0.2630" Properties=species:S:1:pos:R:3 comment="Zn4Si3 GGA-PBE optimized geometry" relative_energy_ev_per_fu=0.04 density_g_cm3=5.113 spacegroup=P6_3/m pbc="T T T"
Si 0.0339 0.7699 1.8492
Si 2.4579 -0.0371 6.6093
Si -2.8473 0.9643 6.4150
Si -1.0956 2.8727 0.9962
Si -6.4008 3.8740 0.8019
Si -3.9767 3.0671 5.5619
Zn -3.3830 1.5005 0.5778
Zn -6.0157 1.8435 2.5393
Zn -3.0555 1.1950 3.8482
Zn -0.1185 0.5657 4.9578
Zn -3.8244 3.2713 2.4533
Zn -0.8873 2.6420 3.5629
Zn 2.0728 1.9935 4.8718
Zn -0.5599 2.3365 6.8333

Entry 2:
8
Lattice="0.0000 5.0728 5.0728 5.0728 0.0000 5.0728 5.0728 5.0728 0.0000" Properties=species:S:1:pos:R:3 comment="AgMoBr6 GGA-PBE optimized geometry" density_g_cm3=4.346 spacegroup=F-43m total_energy_ev_per_cell=-25.780 magmom_total_mub_per_fu=1.00 pbc="T T T"
Ag 0.0000 0.0000 0.0000
Br 2.5364 2.5364 5.0377
Br 0.0350 2.5364 2.5364
Br 2.5364 0.0350 2.5364
Br 2.5364 5.0377 2.5364
Br 2.5364 2.5364 0.0350
Br 5.0377 2.5364 2.5364
Mo 2.5364 2.5364 2.5364

Entry 3:
6
Lattice="-3.2972 -2.1758 -0.0176 1.3952 -2.1387 3.0142 -3.0236 4.5444 4.6239" Properties=species:S:1:pos:R:3 comment="DyNb2CuSi2 GGA-PBE optimized geometry" density_g_cm3=6.962 spacegroup=P4mm total_energy_ev_per_cell=-41.079 magmom_total_mub_per_fu=0.00 pbc="T T T"
Cu -1.9883 2.9884 3.0407
Dy -2.0509 -0.5041 3.1803
Nb -4.6412 3.4098 4.5677
Nb -2.2950 3.4284 6.0836
Si -0.7694 1.1564 1.1767
Si -3.2025 1.2268 4.9415

Entry 4:
8
Lattice="-1.5922 -0.8242 -2.6239 -1.0926 -0.8601 2.8576 -7.4120 11.9200 0.7537" Properties=species:S:1:pos:R:3 comment="Nb4InGaC2 GGA-PBE optimized geometry" density_g_cm3=7.836 spacegroup=P-6m2 total_energy_ev_per_cell=-68.309 magmom_total_mub_per_fu=0.00 pbc="T T T"
C -3.0488 2.0300 1.2124
C -6.8815 8.1938 1.6021
Ga 0.0000 0.0000 0.0000
In -5.1317 5.1239 -0.4199
Nb -2.5720 1.0074 -0.6802
Nb -2.4234 3.8973 0.2464
Nb -4.9887 8.0228 0.5073
Nb -7.6914 9.2404 -0.1596